# 1
DFT (PBE-GGA) results for an optimized crystal structure of Tb2CdH2.

Cell lengths 6.6515, 6.6515, 6.6515 Å; angles 146.77, 146.77, 47.70 degrees
Last column: nearest neighbours and their distance in Å.
Positions (direct):
Tb 0.1519 0.1519 0.0000  4 H 2.25
Tb 0.8481 0.8481 0.0000  4 H 2.25
Cd 0.5000 0.5000 0.0000  8 Tb 3.26, 8 H 3.59
H 0.2500 0.7500 0.5000  4 Tb 2.25
H 0.7500 0.2500 0.5000  4 Tb 2.25

Calculated values
Magnetization   0.00 μB per formula unit
Space-group type   I4/mmm
DFT total energy   -3.94 eV/atom


# 2
DFT (PBE-GGA) results for an optimized crystal structure of GaPPtCl2.

Cell lengths 4.5440, 4.5440, 5.2114 Å; angles 90.00, 90.00, 90.00 degrees
Last column: nearest neighbours and their distance in Å.
Positions (direct):
Ga 0.0000 0.0000 0.0000  4 Cl 2.27
P 0.0000 0.0000 0.5000  2 Ga 2.61
Pt 0.5000 0.5000 0.5000  4 P 3.21, 8 Cl 3.46
Cl 0.0000 0.5000 0.0000  2 Ga 2.27
Cl 0.5000 0.0000 0.0000  2 Ga 2.27

Calculated values
Magnetization   0.77 μB per formula unit
Energy relative to the elements, uncorrected   2.86 eV per formula unit
Space-group type   P4/mmm
Energy relative to the lowest polymorph listed for this composition   553 meV per atom
DFT total energy   -3.06 eV/atom


# 3
DFT (PBE-GGA) results for an optimized crystal structure of BaUTl2Cl8.

Cell lengths 5.9657, 7.8182, 9.3684 Å; angles 89.93, 89.97, 76.46 degrees
Last column: nearest neighbours and their distance in Å.
Positions (direct):
Ba 0.0000 0.0000 0.0000  6 Cl 3.06-3.22
U 0.0000 0.0000 0.5000  6 Cl 2.58-2.69
Tl 0.4972 0.5009 0.2442  4 Cl 3.04-3.35
Tl 0.5028 0.4991 0.7558  4 Cl 3.04-3.35
Cl 0.0615 0.2127 0.7144  1 U 2.69
Cl 0.0645 0.2112 0.2864  1 U 2.68
Cl 0.4146 0.8060 0.4995  1 U 2.58
Cl 0.4851 0.7586 0.9997  2 Tl 3.04, 1 Ba 3.06
Cl 0.5149 0.2414 0.0003  2 Tl 3.04, 1 Ba 3.06
Cl 0.5854 0.1940 0.5005  1 U 2.58
Cl 0.9355 0.7888 0.7136  1 U 2.68
Cl 0.9385 0.7873 0.2856  1 U 2.69

Calculated values
Magnetization   2.00 μB per formula unit
Energy relative to the elements, uncorrected   -20.14 eV per formula unit
Space-group type   P-1
DFT total energy   -4.41 eV/atom


# 4
DFT (PBE-GGA) results for an optimized crystal structure of HgH3Os.

Cell lengths 3.6811, 3.6811, 3.6811 Å; angles 90.00, 90.00, 90.00 degrees
Last column: nearest neighbours and their distance in Å.
Positions (direct):
Hg 0.0000 0.0000 0.0000  6 H 1.84
H 0.0000 0.0000 0.5000  2 Hg 1.84
H 0.0000 0.5000 0.0000  2 Hg 1.84
H 0.5000 0.0000 0.0000  2 Hg 1.84
Os 0.5000 0.5000 0.5000  12 H 2.60

Calculated values
Magnetization   1.03 μB per formula unit
Space-group type   Pm-3m
Energy relative to the lowest polymorph listed for this composition   1061 meV per atom
DFT total energy   -2.72 eV/atom


# 5
DFT (PBE-GGA) results for an optimized crystal structure of Ba3FePd.

Cell lengths 5.6103, 5.6103, 5.6103 Å; angles 90.00, 90.00, 90.00 degrees
Last column: nearest neighbours and their distance in Å.
Positions (direct):
Ba 0.0000 0.0000 0.5000  2 Fe 2.81
Ba 0.0000 0.5000 0.0000  2 Fe 2.81
Ba 0.5000 0.0000 0.0000  2 Fe 2.81
Fe 0.0000 0.0000 0.0000  6 Ba 2.81
Pd 0.5000 0.5000 0.5000  12 Ba 3.97

Calculated values
Magnetization   0.01 μB per formula unit
Space-group type   Pm-3m
DFT total energy   -3.46 eV/atom
Energy relative to the elements   0.422 eV/atom


# 6
DFT (PBE-GGA) results for an optimized crystal structure of Ba2Zn12Ni5.

Cell lengths 6.8392, 6.8392, 6.8392 Å; angles 85.28, 85.28, 85.28 degrees
Last column: nearest neighbours and their distance in Å.
Positions (direct):
Ba 0.1388 0.1388 0.1388  12 Zn 3.21-3.43, 1 Ni 3.38, 1 Ba 3.55
Ba 0.8612 0.8612 0.8612  12 Zn 3.21-3.43, 1 Ni 3.38, 1 Ba 3.55
Zn 0.1730 0.1730 0.5997  3 Ni 2.51-2.54, 2 Zn 2.69
Zn 0.1730 0.5997 0.1730  3 Ni 2.51-2.54, 2 Zn 2.69
Zn 0.2235 0.5000 0.7765  2 Ni 2.53, 4 Zn 2.56-2.69
Zn 0.2235 0.7765 0.5000  2 Ni 2.53, 4 Zn 2.56-2.69
Zn 0.4003 0.8270 0.8270  3 Ni 2.51-2.54, 2 Zn 2.69
Zn 0.5000 0.2235 0.7765  2 Ni 2.53, 4 Zn 2.56-2.69
Zn 0.5000 0.7765 0.2235  2 Ni 2.53, 4 Zn 2.56-2.69
Zn 0.5997 0.1730 0.1730  3 Ni 2.51-2.54, 2 Zn 2.69
Zn 0.7765 0.2235 0.5000  2 Ni 2.53, 4 Zn 2.56-2.69
Zn 0.7765 0.5000 0.2235  2 Ni 2.53, 4 Zn 2.56-2.69
Zn 0.8270 0.4003 0.8270  3 Ni 2.51-2.54, 2 Zn 2.69
Zn 0.8270 0.8270 0.4003  3 Ni 2.51-2.54, 2 Zn 2.69
Ni 0.0000 0.5000 0.5000  8 Zn 2.51-2.53
Ni 0.4032 0.4032 0.4032  1 Ni 2.48, 3 Zn 2.54
Ni 0.5000 0.0000 0.5000  8 Zn 2.51-2.53
Ni 0.5000 0.5000 0.0000  8 Zn 2.51-2.53
Ni 0.5968 0.5968 0.5968  1 Ni 2.48, 3 Zn 2.54

Calculated values
Magnetization   0.00 μB per formula unit
Space-group type   R-3m
DFT total energy   -2.69 eV/atom
Energy relative to the elements   -0.166 eV/atom


> Which value of DFT total energy does entry 2 give?

-3.06 eV/atom